Below is a relaxed structure of La6SmTm2Mg, with properties calculated at the PBE-GGA level.

Calculated values
V in A^3/atom: 34.2
ΔH_f (0 K) in eV/f.u.: 0.934
Total magnetization in Bohr magnetons per cell: 0.00
Density in Mg/m³: 6.5
Total DFT energy (no corrections) in eV/atom: -4.389

Cell: 10.6121 13.8279 9.4352 Å, 90.00 99.07 90.00°
Space group C2/c (No. 15)
Inequivalent atoms, fractional coordinates:
1 La 0.0601 0.1197 0.1000
2 La 0.0872 0.3333 0.9171
3 La 0.2450 0.2899 0.3291
4 Sm 0.0000 0.4307 0.2500
5 Tm 0.2314 0.4664 0.5958
6 Mg 0.0000 0.0952 0.7500

---

Below is a relaxed structure of Pr2Ge3Rh2, with properties calculated at the PBE-GGA level.

Calculated values
V in A^3/atom: 20.3
ΔH_f (0 K) in eV/f.u.: -5.722
Energy relative to the lowest polymorph listed for this composition in kJ per mole of atoms: 0.00
Total magnetization in Bohr magnetons per cell: 0.00
Density in Mg/m³: 8.3
Total DFT energy (no corrections) in eV/atom: -6.262

Cell: 4.2717 18.5265 7.1666 Å, 90.00 90.00 90.00°
Space group Cmcm (No. 63)
Inequivalent atoms, fractional coordinates:
1 Pr 0.0000 0.0565 0.2500
2 Pr 0.0000 0.1592 0.7500
3 Ge 0.0000 0.2220 0.2500
4 Ge 0.0000 0.4368 0.0667
5 Rh 0.0000 0.3056 0.5499

---

Below is a relaxed structure of MgSn5I12, with properties calculated at the PBE-GGA level.

Calculated values
V in A^3/atom: 45.5
Total magnetization in Bohr magnetons per cell: 0.00
Density in Mg/m³: 4.3
ΔE_f (raw) in eV per atom: -0.5954
Total DFT energy (no corrections) in eV/atom: -2.829

Cell: 7.8161 13.5685 15.4459 Å, 90.00 90.06 90.00°
Space group C2/m (No. 12)
Inequivalent atoms, fractional coordinates:
1 Mg 0.0000 0.0000 0.0000
2 Sn 0.0000 0.1668 0.5000
3 Sn 0.0000 0.3333 0.0000
4 Sn 0.0000 0.5000 0.5000
5 I 0.1538 0.1543 0.8873
6 I 0.1664 0.0000 0.6213
7 I 0.1667 0.3334 0.6216
8 I 0.1916 0.5000 0.8874

---

Below is a relaxed structure of Ce2PuZn, with properties calculated at the PBE-GGA level.

Calculated values
V in A^3/atom: 23.8
ΔH_f (0 K) in eV/f.u.: -0.270
Energy relative to the lowest polymorph listed for this composition in kJ per mole of atoms: 0.00
Total magnetization in Bohr magnetons per cell: 6.04
Density in Mg/m³: 10.3
Total DFT energy (no corrections) in eV/atom: -6.936

Cell: 5.3074 5.3074 3.3740 Å, 90.00 90.00 90.00°
Space group P4/mmm (No. 123)
Inequivalent atoms, fractional coordinates:
1 Ce 0.0000 0.5000 0.0000
2 Pu 0.0000 0.0000 0.5000
3 Zn 0.5000 0.5000 0.5000

---

Below is a relaxed structure of TmSnPb2, with properties calculated at the PBE-GGA level.

Calculated values
V in A^3/atom: 27.9
ΔH_f (0 K) in eV/f.u.: -1.035
Energy relative to the lowest polymorph listed for this composition in kJ per mole of atoms: 0.00
Total magnetization in Bohr magnetons per cell: 0.00
Density in Mg/m³: 10.4
Total DFT energy (no corrections) in eV/atom: -4.232

Cell: 4.7700 4.7700 4.9032 Å, 90.00 90.00 90.00°
Space group P4/mmm (No. 123)
Inequivalent atoms, fractional coordinates:
1 Tm 0.0000 0.0000 0.0000
2 Sn 0.5000 0.5000 0.0000
3 Pb 0.0000 0.5000 0.5000

---

Below is a relaxed structure of CsTlCdSn2, with properties calculated at the PBE-GGA level.

Calculated values
V in A^3/atom: 34.4
ΔH_f (0 K) in eV/f.u.: -0.731
Total magnetization in Bohr magnetons per cell: 0.00
Density in Mg/m³: 6.6
Total DFT energy (no corrections) in eV/atom: -2.574

Cell: 5.0417 5.3951 12.6646 Å, 90.00 90.00 90.00°
Space group Imm2 (No. 44)
Inequivalent atoms, fractional coordinates:
1 Cs 0.0000 0.0000 0.0000
2 Tl 0.0000 0.5000 0.7511
3 Cd 0.0000 0.0000 0.3863
4 Sn 0.0000 0.0000 0.6217
5 Sn 0.0000 0.5000 0.2587

---

Below is a relaxed structure of SrHgGe, with properties calculated at the PBE-GGA level.

Calculated values
V in A^3/atom: 28.2
ΔH_f (0 K) in eV/f.u.: -1.383
Total magnetization in Bohr magnetons per cell: 0.00
Density in Mg/m³: 7.1
Total DFT energy (no corrections) in eV/atom: -2.661

Cell: 4.1120 4.7967 9.0339 Å, 105.25 99.91 90.06°
Space group P-1 (No. 2)
Inequivalent atoms, fractional coordinates:
1 Sr 0.1728 0.3954 0.2880
2 Hg 0.3426 0.2115 0.9217
3 Ge 0.2827 0.0410 0.5886

---

Below is a relaxed structure of Sm3Si2SbRh9, with properties calculated at the PBE-GGA level.

Calculated values
V in A^3/atom: 20.2
Total magnetization in Bohr magnetons per cell: 0.00
Density in Mg/m³: 8.5
ΔE_f (raw) in eV per atom: -0.5668
Total DFT energy (no corrections) in eV/atom: -6.919

Cell: 6.1782 6.1782 9.1649 Å, 90.00 90.00 120.00°
Space group P-3m1 (No. 164)
Inequivalent atoms, fractional coordinates:
1 Sm 0.0000 0.0000 0.0000
2 Sm 0.3333 0.6667 0.7258
3 Si 0.3333 0.6667 0.1624
4 Sb 0.0000 0.0000 0.5000
5 Rh 0.0000 0.5000 0.0000
6 Rh 0.1473 0.2947 0.2719

---

Below is a relaxed structure of Sm2Er2Sc15, with properties calculated at the PBE-GGA level.

Calculated values
V in A^3/atom: 27.2
ΔH_f (0 K) in eV/f.u.: 4.706
Total magnetization in Bohr magnetons per cell: 0.17
Density in Mg/m³: 4.2
Total DFT energy (no corrections) in eV/atom: -5.728

Cell: 10.5130 10.5130 16.1847 Å, 90.00 90.00 120.00°
Space group R-3m (No. 166, hexagonal axes)
Inequivalent atoms, fractional coordinates:
1 Sm 0.0000 0.0000 0.1148
2 Er 0.0000 0.0000 0.3358
3 Sc 0.0000 0.3057 0.0000
4 Sc 0.0000 0.5000 0.5000
5 Sc 0.0153 0.5077 0.1407